# 1
The following is a DFT calculation (PBE) of a relaxed Li4Cl2O crystal.

Unit cell a=3.8617 b=3.8617 c=6.9766 alpha=73.93 beta=73.93 gamma=90.00
Fractional coordinates of all 7 atoms:
Li 0.1507 0.1507 0.6986
Li 0.8493 0.8493 0.3014
Li 0.0000 0.5000 0.0000
Li 0.5000 0.0000 0.0000
O 0.0000 0.0000 0.0000
Cl 0.3463 0.3463 0.3075
Cl 0.6537 0.6537 0.6925

Results
The polymorph energy (0 for the lowest one) comes out at 0.00 eV per formula unit. The formation energy (no corrections) comes out at -1801 meV/atom. As for the electronic total energy: -4.130 eV per atom. The calculated volume is 96 Å³ per cell. Its density of states at the Fermi level is 0.000 states/eV/cell. As for the crystal system: tetragonal.

# 2
The following is a DFT calculation (PBE) of a relaxed Li2ClO crystal.

Unit cell a=4.1126 b=4.1126 c=4.1126 alpha=60.00 beta=60.00 gamma=60.00
Fractional coordinates of all 4 atoms:
Li 0.2500 0.2500 0.2500
Li 0.7500 0.7500 0.7500
O 0.0000 0.0000 0.0000
Cl 0.5000 0.5000 0.5000

Results
The polymorph energy (0 for the lowest one) comes out at 0.97 eV per formula unit. The formation energy (no corrections) comes out at -1064 meV/atom. As for the electronic total energy: -3.722 eV per atom. The calculated volume is 49 Å³ per cell. Its density of states at the Fermi level is 2.319 states/eV/cell. As for the crystal system: cubic.

# 3
The following is a DFT calculation (PBE) of a relaxed Li2ClO2 crystal.

Unit cell a=4.2751 b=6.1887 c=7.2577 alpha=114.73 beta=107.13 gamma=90.00
Fractional coordinates of all 10 atoms:
Li 0.3816 0.8765 0.7532
Li 0.3716 0.3765 0.7532
Li 0.6184 0.1235 0.2468
Li 0.6284 0.6235 0.2468
Cl 0.2545 0.7500 0.0000
Cl 0.7455 0.2500 0.0000
O 0.1320 0.0448 0.5894
O 0.5426 0.4552 0.4106
O 0.8680 0.9552 0.4106
O 0.4574 0.5448 0.5894

Results
The formation energy (no corrections) comes out at -1218 meV/atom. As for the electronic total energy: -4.336 eV per atom. The calculated volume is 165 Å³ per cell. As for the crystal system: monoclinic.

# 4
The following is a DFT calculation (PBE) of a relaxed Li2ClO crystal.

Unit cell a=6.0032 b=6.0032 c=5.2252 alpha=54.94 beta=54.94 gamma=90.00
Fractional coordinates of all 8 atoms:
Li 0.5494 0.1250 0.2500
Li 0.2006 0.6250 0.2500
Li 0.3750 0.4506 0.7500
Li 0.8750 0.7994 0.7500
O 0.5000 0.5000 0.0000
O 0.2500 0.7500 0.5000
Cl 0.0000 0.0000 0.0000
Cl 0.7500 0.2500 0.5000

Results
The polymorph energy (0 for the lowest one) comes out at 0.00 eV per formula unit. The formation energy (no corrections) comes out at -1305 meV/atom. As for the electronic total energy: -3.964 eV per atom. The calculated volume is 110 Å³ per cell. Its density of states at the Fermi level is 0.000 states/eV/cell. As for the crystal system: tetragonal.

# 5
The following is a DFT calculation (PBE) of a relaxed Li2ClO crystal.

Unit cell a=3.0670 b=3.0670 c=6.2960 alpha=75.90 beta=75.90 gamma=60.00
Fractional coordinates of all 4 atoms:
Li 0.2746 0.2746 0.1761
Li 0.7254 0.7254 0.8239
O 0.0000 0.0000 0.0000
Cl 0.5000 0.5000 0.5000

Results
The polymorph energy (0 for the lowest one) comes out at 0.01 eV per formula unit. The formation energy (no corrections) comes out at -1302 meV/atom. As for the electronic total energy: -3.960 eV per atom. The calculated volume is 49 Å³ per cell. Its density of states at the Fermi level is 2.602 states/eV/cell. As for the crystal system: trigonal.

# 6
The following is a DFT calculation (PBE) of a relaxed Li5Cl3O crystal.

Unit cell a=7.7334 b=7.7334 c=7.7334 alpha=125.75 beta=125.75 gamma=80.30
Fractional coordinates of all 18 atoms:
Li 0.0000 0.0000 0.0000
Li 0.5000 0.5000 0.0000
Li 0.3010 0.5172 0.5000
Li 0.0172 0.8010 0.5000
Li 0.5172 0.0172 0.2162
Li 0.8010 0.3010 0.7838
Li 0.6990 0.4828 0.5000
Li 0.9828 0.1990 0.5000
Li 0.4828 0.9828 0.7838
Li 0.1990 0.6990 0.2162
Cl 0.7500 0.7500 0.0000
Cl 0.2500 0.2500 0.0000
Cl 0.7098 0.7902 0.5000
Cl 0.2902 0.2098 0.5000
Cl 0.7902 0.2902 0.0805
Cl 0.2098 0.7098 0.9195
O 0.2500 0.7500 0.5000
O 0.7500 0.2500 0.5000

Results
The formation energy (no corrections) comes out at -1679 meV/atom. As for the electronic total energy: -3.908 eV per atom. The calculated volume is 294 Å³ per cell. Its density of states at the Fermi level is 0.000 states/eV/cell. As for the crystal system: tetragonal.

# 7
The following is a DFT calculation (PBE) of a relaxed Li4ClO crystal.

Unit cell a=3.6416 b=3.6415 c=6.0239 alpha=89.89 beta=89.94 gamma=90.00
Fractional coordinates of all 6 atoms:
Li 0.5009 0.9966 0.3190
Li 0.5017 0.9978 0.6772
Li 0.0016 0.4982 0.6772
Li 0.0010 0.4965 0.3190
Cl 0.5013 0.4973 0.9982
O 0.0013 0.9973 0.4982

Results
The formation energy (no corrections) comes out at -1213 meV/atom. As for the electronic total energy: -3.623 eV per atom. The calculated volume is 80 Å³ per cell. Its density of states at the Fermi level is 1.328 states/eV/cell. As for the crystal system: monoclinic.

# 8
The following is a DFT calculation (PBE) of a relaxed Li2Pb3Cl2O4 crystal.

Unit cell a=3.9595 b=3.9595 c=11.7145 alpha=99.73 beta=99.73 gamma=90.00
Fractional coordinates of all 11 atoms:
Li 0.4288 0.4288 0.8576
Li 0.5712 0.5712 0.1424
Pb 0.0000 0.0000 0.0000
Pb 0.1405 0.1405 0.2810
Pb 0.8595 0.8595 0.7190
Cl 0.3074 0.3074 0.6148
Cl 0.6926 0.6926 0.3852
O 0.4374 0.9374 0.8749
O 0.9374 0.4374 0.8749
O 0.0626 0.5626 0.1251
O 0.5626 0.0626 0.1251

Results
The formation energy (no corrections) comes out at -1162 meV/atom. As for the electronic total energy: -4.660 eV per atom. The calculated volume is 178 Å³ per cell. Its density of states at the Fermi level is 1.314 states/eV/cell. As for the crystal system: tetragonal.